! HfMnGeO2 (PBE+U, optimized geometry); values from VASP
&SYSTEM
  ibrav = 0, nat = 5, ntyp = 4
/
ATOMIC_SPECIES
O 16.00 O.upf
Hf 178.49 Hf.upf
Ge 72.64 Ge.upf
Mn 54.94 Mn.upf
CELL_PARAMETERS angstrom
-0.3931 3.5566 1.1322
-1.4504 -1.6865 4.7940
3.5876 0.0458 1.1015
ATOMIC_POSITIONS angstrom
O 1.7938 0.0229 0.5508
Hf -0.7252 -0.8432 2.3970
O -0.1965 1.7783 0.5661
Ge 0.8720 0.9580 3.5139
Mn 0.0000 0.0000 0.0000
! - space-group type = P4/mmm (123)
! - calculated volume (Å³ per atom) = 14.9

! HfMnGeO6 (PBE+U, optimized geometry); values from VASP
&SYSTEM
  ibrav = 0, nat = 9, ntyp = 4
/
ATOMIC_SPECIES
O 16.00 O.upf
Hf 178.49 Hf.upf
Ge 72.64 Ge.upf
Mn 54.94 Mn.upf
CELL_PARAMETERS angstrom
4.3145 0.0000 0.0000
0.0000 5.0614 0.0000
0.0000 -2.5307 4.3833
ATOMIC_POSITIONS angstrom
O 1.0855 -1.6712 3.0017
O 3.2290 1.6712 3.0017
O 1.0855 0.7667 1.4352
O 1.0855 0.9044 4.3298
O 3.2290 -0.7668 1.4352
Hf 2.1573 2.5307 1.4611
Ge 2.1573 0.0000 0.0000
O 3.2290 -0.9044 4.3298
Mn 0.0000 0.0000 2.9222
! - space-group type = P312 (149)
! - calculated volume (Å³ per atom) = 10.6

Number 1: total energy -31.8 eV/cell. Number 2: total energy -69.0 eV/cell.